# 1
A geometry-optimized SnPt3F structure. Source: Alexandria via LeMat-Bulk, functional PBE.

**Energy above the lowest structure with this stoichiometry**: 0.0 kJ per mole of atoms
**Volume**: 17.78 A^3/atom
**Calculated total energy**: -0.3198 Ry per atom

Cell: 4.4627 4.4627 4.4627 Å, 90.00 90.00 90.00°
Closest atoms and distances in Å follow each position.
Sites, in units of the cell vectors:
1 Sn 0.5000 0.5000 0.5000  12 Pt 3.16
2 Pt 0.0000 0.5000 0.0000  2 F 2.23
3 Pt 0.0000 0.0000 0.5000  2 F 2.23
4 Pt 0.5000 0.0000 0.0000  2 F 2.23
5 F 0.0000 0.0000 0.0000  6 Pt 2.23

# 2
A geometry-optimized SnPtF structure. Source: Alexandria via LeMat-Bulk, functional PBE.

**Volume**: 19.19 A^3/atom
**Calculated total energy**: -0.3781 Ry per atom

Cell: 4.5999 4.5999 5.4433 Å, 90.04 90.04 91.06°
Closest atoms and distances in Å follow each position.
Sites, in units of the cell vectors:
1 Pt 0.2740 0.2745 0.9149  4 Sn 2.71-2.73, 2 Pt 2.72
2 Pt 0.2745 0.2740 0.4149  4 Sn 2.71-2.73, 2 Pt 2.72
3 F 0.7697 0.7710 0.9166  2 Sn 2.24
4 F 0.7710 0.7697 0.4166  2 Sn 2.24
5 Sn 0.7732 0.3843 0.1652  2 F 2.24
6 Sn 0.3843 0.7732 0.6652  2 F 2.24

# 3
A geometry-optimized Sn2PtF structure. Source: Alexandria via LeMat-Bulk, functional PBE.

**Energy above the lowest structure with this stoichiometry**: 0.0 kJ per mole of atoms
**Volume**: 18.07 A^3/atom
**Calculated total energy**: -0.3593 Ry per atom

Cell: 4.6760 4.6760 4.6760 Å, 60.00 60.00 60.00°
Closest atoms and distances in Å follow each position.
Sites, in units of the cell vectors:
1 Sn 0.2500 0.2500 0.2500  4 F 2.86, 4 Pt 2.86
2 Sn 0.7500 0.7500 0.7500  4 F 2.86, 4 Pt 2.86
3 Pt 0.5000 0.5000 0.5000  8 Sn 2.86
4 F 0.0000 0.0000 0.0000  8 Sn 2.86

# 4
A geometry-optimized SnPt3F structure. Source: Alexandria via LeMat-Bulk, functional PBE.

**Energy above the lowest structure with this stoichiometry**: 49.2 kJ per mole of atoms
**Volume**: 24.90 A^3/atom
**Calculated total energy**: -0.2823 Ry per atom

Cell: 4.9933 4.9933 4.9933 Å, 90.00 90.00 90.00°
Closest atoms and distances in Å follow each position.
Sites, in units of the cell vectors:
1 Sn 0.0000 0.0000 0.0000  6 Pt 2.50
2 Pt 0.0000 0.5000 0.0000  2 Sn 2.50
3 Pt 0.0000 0.0000 0.5000  2 Sn 2.50
4 Pt 0.5000 0.0000 0.0000  2 Sn 2.50
5 F 0.5000 0.5000 0.5000  12 Pt 3.53

# 5
A geometry-optimized SnPt2F structure. Source: Alexandria via LeMat-Bulk, functional PBE.

**Energy above the lowest structure with this stoichiometry**: 5.3 kJ per mole of atoms
**Volume**: 16.86 A^3/atom
**Calculated total energy**: -0.3600 Ry per atom

Cell: 7.0676 7.0676 5.6803 Å, 51.53 51.53 90.00°
Closest atoms and distances in Å follow each position.
Sites, in units of the cell vectors:
1 Sn 0.0000 0.0000 0.0000  4 Pt 2.65, 2 F 2.70
2 Sn 0.7500 0.2500 0.5000  4 Pt 2.65, 2 F 2.70
3 Pt 0.6124 0.1250 0.2500  2 F 2.53, 2 Sn 2.65, 2 Pt 2.71
4 Pt 0.1376 0.6250 0.2500  2 F 2.53, 2 Sn 2.65, 2 Pt 2.71
5 Pt 0.3750 0.3876 0.7500  2 F 2.53, 2 Sn 2.65, 2 Pt 2.71
6 Pt 0.8750 0.8624 0.7500  2 F 2.53, 2 Sn 2.65, 2 Pt 2.71
7 F 0.5000 0.5000 0.0000  4 Pt 2.53, 2 Sn 2.70
8 F 0.2500 0.7500 0.5000  4 Pt 2.53, 2 Sn 2.70

# 6
A geometry-optimized Sn2PtF structure. Source: Alexandria via LeMat-Bulk, functional PBE.

**Energy above the lowest structure with this stoichiometry**: 15.2 kJ per mole of atoms
**Volume**: 24.72 A^3/atom
**Calculated total energy**: -0.3478 Ry per atom

Cell: 5.4274 5.4274 7.7329 Å, 69.46 69.46 90.00°
Closest atoms and distances in Å follow each position.
Sites, in units of the cell vectors:
1 Sn 0.6026 0.1250 0.2500  2 F 2.49, 2 Pt 2.62
2 Sn 0.1474 0.6250 0.2500  2 F 2.49, 2 Pt 2.62
3 Sn 0.3750 0.3974 0.7500  2 F 2.49, 2 Pt 2.62
4 Sn 0.8750 0.8526 0.7500  2 F 2.49, 2 Pt 2.62
5 Pt 0.0000 0.0000 0.0000  4 Sn 2.62
6 Pt 0.7500 0.2500 0.5000  4 Sn 2.62
7 F 0.5000 0.5000 0.0000  4 Sn 2.49
8 F 0.2500 0.7500 0.5000  4 Sn 2.49

# 7
A geometry-optimized SnPt2F structure. Source: Alexandria via LeMat-Bulk, functional PBE.

**Energy above the lowest structure with this stoichiometry**: 0.0 kJ per mole of atoms
**Volume**: 15.80 A^3/atom
**Calculated total energy**: -0.3640 Ry per atom

Cell: 4.4713 4.4713 4.4713 Å, 60.00 60.00 60.00°
Closest atoms and distances in Å follow each position.
Sites, in units of the cell vectors:
1 Sn 0.5000 0.5000 0.5000  8 Pt 2.74
2 Pt 0.2500 0.2500 0.2500  4 Sn 2.74, 4 F 2.74
3 Pt 0.7500 0.7500 0.7500  4 Sn 2.74, 4 F 2.74
4 F 0.0000 0.0000 0.0000  8 Pt 2.74

# 8
A geometry-optimized Sr2PtF structure. Source: Alexandria via LeMat-Bulk, functional PBE.

**Energy above the lowest structure with this stoichiometry**: 77.0 kJ per mole of atoms
**Volume**: 26.62 A^3/atom
**Calculated total energy**: -0.2733 Ry per atom

Cell: 3.6978 3.6978 9.2417 Å, 78.46 78.46 60.00°
Closest atoms and distances in Å follow each position.
Sites, in units of the cell vectors:
1 Sr 0.1017 0.1017 0.6950  1 Pt 2.74, 3 F 2.76
2 Sr 0.8983 0.8983 0.3050  1 Pt 2.74, 3 F 2.76
3 Pt 0.0000 0.0000 0.0000  2 Sr 2.74
4 F 0.5000 0.5000 0.5000  6 Sr 2.76

- What is the formula in the first record?
  SnPt3F

- Which value of volume does entry 3 give?
  18.07 A^3/atom